## A
# SbPtAu (PBE, optimized geometry)
# Total magnetization (μB/atom): 0.00
# N(E_F) (states/eV/atom): 0.471
data_SbPtAu
_cell_length_a 3.843
_cell_length_b 5.539
_cell_length_c 6.350
_cell_angle_alpha 109.74
_cell_angle_beta 107.37
_cell_angle_gamma 90.22
_symmetry_space_group_name_H-M 'P -1'
_symmetry_Int_Tables_number 2
loop_
_symmetry_equiv_pos_as_xyz
'x,y,z'
'-x,-y,-z'
loop_
_atom_site_label
_atom_site_fract_x
_atom_site_fract_y
_atom_site_fract_z
Sb1 0.194 0.194 0.388
Pt1 0.138 0.669 0.274
Au1 0.477 0.738 0.952

=====

## B
# SbPtAu (PBE, optimized geometry)
# Total magnetization (μB/atom): 0.00
# N(E_F) (states/eV/atom): 0.218
data_SbPtAu
_cell_length_a 3.620
_cell_length_b 3.620
_cell_length_c 8.957
_cell_angle_alpha 90.00
_cell_angle_beta 90.00
_cell_angle_gamma 90.00
_symmetry_space_group_name_H-M 'I 4 m m'
_symmetry_Int_Tables_number 107
_symmetry_space_group_name_Hall 'I 4 -2'
loop_
_atom_site_label
_atom_site_fract_x
_atom_site_fract_y
_atom_site_fract_z
Sb1 0.000 0.000 0.000
Pt1 0.000 0.000 0.630
Au1 0.000 0.000 0.308

=====

## C
# SbPtAu (PBE, optimized geometry)
# Total magnetization (μB/atom): 0.00
# N(E_F) (states/eV/atom): 0.576
data_SbPtAu
_cell_length_a 6.399
_cell_length_b 6.399
_cell_length_c 6.399
_cell_angle_alpha 90.00
_cell_angle_beta 90.00
_cell_angle_gamma 90.00
_symmetry_space_group_name_H-M 'F -4 3 m'
_symmetry_Int_Tables_number 216
_symmetry_space_group_name_Hall 'F -4 2 3'
loop_
_atom_site_label
_atom_site_fract_x
_atom_site_fract_y
_atom_site_fract_z
Sb1 0.000 0.000 0.000
Pt1 0.250 0.250 0.250
Au1 0.000 0.000 0.500

=====

Which is the most stable structure? A is the most stable.

=====

## A
# ScPt2Au2 (PBE, optimized geometry)
# Total magnetization (μB/atom): 0.00
# N(E_F) (states/eV/atom): 0.438
data_ScPt2Au2
_cell_length_a 7.147
_cell_length_b 7.147
_cell_length_c 3.593
_cell_angle_alpha 90.00
_cell_angle_beta 90.00
_cell_angle_gamma 90.00
_symmetry_space_group_name_H-M 'P 4/m b m'
_symmetry_Int_Tables_number 127
_symmetry_space_group_name_Hall '-P 4 2ab'
loop_
_atom_site_label
_atom_site_fract_x
_atom_site_fract_y
_atom_site_fract_z
Sc1 0.000 0.000 0.000
Pt1 0.159 0.341 0.500
Au1 0.140 0.640 0.000

=====

## B
# ScPt2Au2 (PBE, optimized geometry)
# Total magnetization (μB/atom): 0.00
# N(E_F) (states/eV/atom): 0.440
data_ScPt2Au2
_cell_length_a 6.884
_cell_length_b 6.884
_cell_length_c 3.916
_cell_angle_alpha 90.00
_cell_angle_beta 90.00
_cell_angle_gamma 90.00
_symmetry_space_group_name_H-M 'P 4/m b m'
_symmetry_Int_Tables_number 127
_symmetry_space_group_name_Hall '-P 4 2ab'
loop_
_atom_site_label
_atom_site_fract_x
_atom_site_fract_y
_atom_site_fract_z
Sc1 0.000 0.000 0.000
Pt1 0.136 0.364 0.000
Au1 0.165 0.665 0.500

=====

## C
# ScPt2Au2 (PBE, optimized geometry)
# Total magnetization (μB/atom): 0.00
# N(E_F) (states/eV/atom): 0.466
data_ScPt2Au2
_cell_length_a 3.776
_cell_length_b 3.776
_cell_length_c 13.588
_cell_angle_alpha 90.00
_cell_angle_beta 90.00
_cell_angle_gamma 90.00
_symmetry_space_group_name_H-M 'I 4/m m m'
_symmetry_Int_Tables_number 139
_symmetry_space_group_name_Hall '-I 4 2'
loop_
_atom_site_label
_atom_site_fract_x
_atom_site_fract_y
_atom_site_fract_z
Sc1 0.000 0.000 0.000
Pt1 0.000 0.000 0.405
Au1 0.000 0.500 0.250

=====

Which is the most stable structure? B is the most stable.

=====

## A
# Pt3AuSe (PBE, optimized geometry)
# Total magnetization (μB/atom): 0.00
# N(E_F) (states/eV/atom): 1.232
data_Pt3AuSe
_cell_length_a 4.952
_cell_length_b 4.952
_cell_length_c 4.952
_cell_angle_alpha 90.00
_cell_angle_beta 90.00
_cell_angle_gamma 90.00
_symmetry_space_group_name_H-M 'P m -3 m'
_symmetry_Int_Tables_number 221
_symmetry_space_group_name_Hall '-P 4 2 3'
loop_
_atom_site_label
_atom_site_fract_x
_atom_site_fract_y
_atom_site_fract_z
Pt1 0.000 0.000 0.500
Au1 0.000 0.000 0.000
Se1 0.500 0.500 0.500

=====

## B
# Pt3AuSe (PBE, optimized geometry)
# Total magnetization (μB/atom): 0.00
# N(E_F) (states/eV/atom): 0.390
data_Pt3AuSe
_cell_length_a 4.673
_cell_length_b 4.673
_cell_length_c 4.673
_cell_angle_alpha 90.00
_cell_angle_beta 90.00
_cell_angle_gamma 90.00
_symmetry_space_group_name_H-M 'P m -3 m'
_symmetry_Int_Tables_number 221
_symmetry_space_group_name_Hall '-P 4 2 3'
loop_
_atom_site_label
_atom_site_fract_x
_atom_site_fract_y
_atom_site_fract_z
Pt1 0.000 0.000 0.500
Au1 0.500 0.500 0.500
Se1 0.000 0.000 0.000

=====

Which is the most stable structure? B is the most stable.

=====

## A
# PtAuSe4 (PBE, optimized geometry)
# Total magnetization (μB/atom): 0.00
# N(E_F) (states/eV/atom): 1.146
data_PtAuSe4
_cell_length_a 7.912
_cell_length_b 7.912
_cell_length_c 7.912
_cell_angle_alpha 90.00
_cell_angle_beta 90.00
_cell_angle_gamma 90.00
_symmetry_space_group_name_H-M 'F -4 3 m'
_symmetry_Int_Tables_number 216
_symmetry_space_group_name_Hall 'F -4 2 3'
loop_
_atom_site_label
_atom_site_fract_x
_atom_site_fract_y
_atom_site_fract_z
Pt1 0.000 0.000 0.000
Au1 0.250 0.250 0.250
Se1 0.126 0.126 0.626

=====

## B
# PtAuSe4 (PBE, optimized geometry)
# Total magnetization (μB/atom): 0.00
# N(E_F) (states/eV/atom): 0.467
data_PtAuSe4
_cell_length_a 11.887
_cell_length_b 3.830
_cell_length_c 6.789
_cell_angle_alpha 90.00
_cell_angle_beta 123.52
_cell_angle_gamma 90.00
_symmetry_space_group_name_H-M 'C 1 2/m 1'
_symmetry_Int_Tables_number 12
loop_
_symmetry_equiv_pos_as_xyz
'x,y,z'
'-x,-y,-z'
'-x,y,-z'
'x,-y,z'
'x+1/2,y+1/2,z'
'-x+1/2,-y+1/2,-z'
'-x+1/2,y+1/2,-z'
'x+1/2,-y+1/2,z'
loop_
_atom_site_label
_atom_site_fract_x
_atom_site_fract_y
_atom_site_fract_z
Pt1 0.000 0.000 0.000
Au1 0.000 0.500 0.500
Se1 0.124 0.500 0.289
Se2 0.151 0.000 0.843

=====

Which is the most stable structure? B is the most stable.

=====

## A
# Si2PtAu (PBE, optimized geometry)
# Total magnetization (μB/atom): 0.00
# N(E_F) (states/eV/atom): 0.367
data_Si2PtAu
_cell_length_a 3.081
_cell_length_b 4.859
_cell_length_c 8.525
_cell_angle_alpha 90.00
_cell_angle_beta 90.00
_cell_angle_gamma 90.00
_symmetry_space_group_name_H-M 'I m m 2'
_symmetry_Int_Tables_number 44
loop_
_symmetry_equiv_pos_as_xyz
'x,y,z'
'-x,-y,z'
'-x,y,z'
'x,-y,z'
'x+1/2,y+1/2,z+1/2'
'-x+1/2,-y+1/2,z+1/2'
'-x+1/2,y+1/2,z+1/2'
'x+1/2,-y+1/2,z+1/2'
loop_
_atom_site_label
_atom_site_fract_x
_atom_site_fract_y
_atom_site_fract_z
Si1 0.000 0.000 0.000
Si2 0.000 0.500 0.264
Pt1 0.000 0.000 0.543
Au1 0.000 0.500 0.750

=====

## B
# Si2PtAu (PBE, optimized geometry)
# Total magnetization (μB/atom): 0.00
# N(E_F) (states/eV/atom): 0.627
data_Si2PtAu
_cell_length_a 6.332
_cell_length_b 6.332
_cell_length_c 6.332
_cell_angle_alpha 90.00
_cell_angle_beta 90.00
_cell_angle_gamma 90.00
_symmetry_space_group_name_H-M 'F m -3 m'
_symmetry_Int_Tables_number 225
_symmetry_space_group_name_Hall '-F 4 2 3'
loop_
_atom_site_label
_atom_site_fract_x
_atom_site_fract_y
_atom_site_fract_z
Si1 0.250 0.250 0.250
Pt1 0.000 0.000 0.000
Au1 0.000 0.000 0.500

=====

Which is the most stable structure? A is the most stable.